# 1
{"formula": "Tm5ThCu4", "functional": "PBE-GGA", "state": "relaxed", "lattice_angstrom": [[3.410, 0.000, 0.000], [0.000, 3.410, 0.000], [0.000, 0.000, 19.028]], "species": ["Tm", "Tm", "Tm", "Tm", "Tm", "Th", "Cu", "Cu", "Cu", "Cu"], "fractional_positions": [[0.000, 0.000, 0.000], [0.000, 0.000, 0.182], [0.000, 0.000, 0.362], [0.000, 0.000, 0.638], [0.000, 0.000, 0.818], [0.500, 0.500, 0.500], [0.500, 0.500, 0.091], [0.500, 0.500, 0.273], [0.500, 0.500, 0.727], [0.500, 0.500, 0.909]]}

# 2
{"formula": "La5SmHo3", "functional": "PBE-GGA", "state": "relaxed", "lattice_angstrom": [[-4.381, 4.381, 8.266], [4.381, -4.381, 8.266], [4.381, 4.381, -8.266]], "species": ["La", "La", "La", "La", "La", "La", "La", "La", "La", "La", "Sm", "Sm", "Ho", "Ho", "Ho", "Ho", "Ho", "Ho"], "fractional_positions": [[0.000, 0.000, 0.000], [0.059, 0.559, 0.898], [0.161, 0.059, 0.500], [0.339, 0.839, 0.898], [0.441, 0.339, 0.500], [0.500, 0.500, 0.000], [0.559, 0.661, 0.500], [0.661, 0.161, 0.102], [0.839, 0.941, 0.500], [0.941, 0.441, 0.102], [0.250, 0.750, 0.500], [0.750, 0.250, 0.500], [0.121, 0.379, 0.500], [0.250, 0.250, 0.000], [0.379, 0.879, 0.259], [0.621, 0.121, 0.741], [0.750, 0.750, 0.000], [0.879, 0.621, 0.500]], "relative_energy_ev_per_atom": 0.040}

Number 1: raw total energy -48.42 eV for the cell shown, M_tot 0.00 μB/atom. Number 2: raw total energy -81.09 eV for the cell shown, M_tot 0.00 μB/atom.